No. 1
A plane-wave DFT calculation with SCAN was carried out for a crystal of ZnRhPb3 relaxed with PBEsol.

Lattice parameters (Å, degrees): 5.1065 5.1065 5.1065 90.00 90.00 90.00
With the nearest neighbours (Å) after each atom.
Fractional coordinates of all 5 atoms:
Zn 0.0000 0.0000 0.0000  6 Pb 2.55
Rh 0.5000 0.5000 0.5000  12 Pb 3.61
Pb 0.0000 0.0000 0.5000  2 Zn 2.55
Pb 0.0000 0.5000 0.0000  2 Zn 2.55
Pb 0.5000 0.0000 0.0000  2 Zn 2.55

Values from the calculation:
Its energy of formation from the pure elements is 0.854 eV per atom. Its total moment is 0.00 μB per formula unit. The electronic total energy is -54.0722 eV per atom. The density of states at the Fermi level comes out at 3.567 states/eV/cell.



No. 2
A plane-wave DFT calculation with SCAN was carried out for a crystal of MgMn2CrB relaxed with PBEsol.

Lattice parameters (Å, degrees): 3.8564 3.8564 4.1682 90.00 90.00 90.00
With the nearest neighbours (Å) after each atom.
Fractional coordinates of all 5 atoms:
Mg 0.0000 0.0000 0.0000  2 B 2.08
Mn 0.0000 0.5000 0.5000  2 B 1.93
Mn 0.5000 0.0000 0.5000  2 B 1.93
Cr 0.5000 0.5000 0.0000  4 Mg 2.73, 8 Mn 2.84
B 0.0000 0.0000 0.5000  4 Mn 1.93, 2 Mg 2.08

Values from the calculation:
Its energy of formation from the pure elements is 0.391 eV per atom. Its total moment is 7.05 μB per formula unit. The electronic total energy is -13.0684 eV per atom. The density of states at the Fermi level comes out at 3.603 states/eV/cell.



No. 3
A plane-wave DFT calculation with SCAN was carried out for a crystal of FeSiW relaxed with PBEsol.

Lattice parameters (Å, degrees): 5.6186 5.6186 5.6186 90.00 90.00 90.00
With the nearest neighbours (Å) after each atom.
Fractional coordinates of all 12 atoms:
Fe 0.0000 0.0000 0.0000  4 Si 2.43
Fe 0.0000 0.5000 0.5000  4 Si 2.43
Fe 0.5000 0.0000 0.5000  4 Si 2.43
Fe 0.5000 0.5000 0.0000  4 Si 2.43
Si 0.2500 0.2500 0.2500  4 W 2.43, 4 Fe 2.43
Si 0.2500 0.7500 0.7500  4 W 2.43, 4 Fe 2.43
Si 0.7500 0.2500 0.7500  4 W 2.43, 4 Fe 2.43
Si 0.7500 0.7500 0.2500  4 W 2.43, 4 Fe 2.43
W 0.0000 0.0000 0.5000  4 Si 2.43
W 0.0000 0.5000 0.0000  4 Si 2.43
W 0.5000 0.0000 0.0000  4 Si 2.43
W 0.5000 0.5000 0.5000  4 Si 2.43

Values from the calculation:
The offset from the most stable computed form is 1.82 eV per formula unit. Its formation energy (no corrections) is 0.360 eV per atom. Its total moment is 3.43 μB per formula unit. The electronic total energy is -32.2513 eV per atom. The density of states at the Fermi level comes out at 6.781 states/eV/cell.



No. 4
A plane-wave DFT calculation with SCAN was carried out for a crystal of CuSbIN2 relaxed with PBEsol.

Lattice parameters (Å, degrees): 4.1272 4.1272 5.0297 90.00 90.00 90.00
With the nearest neighbours (Å) after each atom.
Fractional coordinates of all 5 atoms:
Cu 0.0000 0.0000 0.0000  4 N 2.06
Sb 0.5000 0.5000 0.5000  4 I 2.92, 8 N 3.25
I 0.0000 0.0000 0.5000  2 Cu 2.51
N 0.0000 0.5000 0.0000  2 Cu 2.06
N 0.5000 0.0000 0.0000  2 Cu 2.06

Values from the calculation:
Its formation energy (no corrections) is 1.699 eV per atom. Its total moment is 2.88 μB per formula unit. The electronic total energy is -19.8577 eV per atom. The density of states at the Fermi level comes out at 3.223 states/eV/cell.



No. 5
A plane-wave DFT calculation with SCAN was carried out for a crystal of NdSi2Ag relaxed with PBEsol.

Lattice parameters (Å, degrees): 4.1728 17.4048 4.1841 90.00 90.00 90.00
With the nearest neighbours (Å) after each atom.
Fractional coordinates of all 16 atoms:
Nd 0.0000 0.0971 0.2500  10 Si 3.07-3.18, 4 Ag 3.37-3.40
Nd 0.0000 0.9029 0.7500  10 Si 3.07-3.18, 4 Ag 3.37-3.40
Nd 0.5000 0.4029 0.7500  10 Si 3.07-3.18, 4 Ag 3.37-3.40
Nd 0.5000 0.5971 0.2500  10 Si 3.07-3.18, 4 Ag 3.37-3.40
Si 0.0000 0.3347 0.2500  1 Si 2.31, 4 Ag 2.54-2.57
Si 0.0000 0.4676 0.2500  3 Si 2.31-2.38
Si 0.0000 0.5324 0.7500  3 Si 2.31-2.38
Si 0.0000 0.6653 0.7500  1 Si 2.31, 4 Ag 2.54-2.57
Si 0.5000 0.0324 0.7500  3 Si 2.31-2.38
Si 0.5000 0.1653 0.7500  1 Si 2.31, 4 Ag 2.54-2.57
Si 0.5000 0.8347 0.2500  1 Si 2.31, 4 Ag 2.54-2.57
Si 0.5000 0.9676 0.2500  3 Si 2.31-2.38
Ag 0.0000 0.2486 0.7500  4 Si 2.54-2.57
Ag 0.0000 0.7514 0.2500  4 Si 2.54-2.57
Ag 0.5000 0.2514 0.2500  4 Si 2.54-2.57
Ag 0.5000 0.7486 0.7500  4 Si 2.54-2.57

Values from the calculation:
Its formation energy (no corrections) is -0.539 eV per atom. Its total moment is 0.00 μB per formula unit. The electronic total energy is -24.2839 eV per atom. The density of states at the Fermi level comes out at 3.477 states/eV/cell.



No. 6
A plane-wave DFT calculation with SCAN was carried out for a crystal of YBi3F15 relaxed with PBEsol.

Lattice parameters (Å, degrees): 5.9963 11.3321 8.7340 90.00 93.46 90.00
With the nearest neighbours (Å) after each atom.
Fractional coordinates of all 38 atoms:
Y 0.1499 0.2500 0.3371  6 F 2.15-2.23
Y 0.8501 0.7500 0.6629  6 F 2.15-2.23
Bi 0.0000 0.0000 0.0000  6 F 2.04-2.08
Bi 0.0000 0.5000 0.0000  6 F 2.04-2.08
Bi 0.4277 0.0547 0.6885  5 F 2.16-2.32
Bi 0.4277 0.4453 0.6885  5 F 2.16-2.32
Bi 0.5723 0.5547 0.3115  5 F 2.16-2.32
Bi 0.5723 0.9453 0.3115  5 F 2.16-2.32
F 0.0361 0.7500 0.8923  1 F 1.99
F 0.0594 0.5422 0.7746  1 Bi 2.08
F 0.0594 0.9578 0.7746  1 Bi 2.08
F 0.1636 0.1314 0.5342  1 Y 2.18, 1 Bi 2.20
F 0.1636 0.3686 0.5342  1 Y 2.18, 1 Bi 2.20
F 0.2147 0.7500 0.7074  1 F 1.99, 1 Y 2.20
F 0.2252 0.1253 0.9431  1 Bi 2.04
F 0.2252 0.3747 0.9431  1 Bi 2.04
F 0.2693 0.5931 0.0894  1 Bi 2.04
F 0.2693 0.9069 0.0894  1 Bi 2.04
F 0.3485 0.5806 0.4936  2 Bi 2.16-2.32
F 0.3485 0.9194 0.4936  2 Bi 2.16-2.32
F 0.3644 0.1144 0.2559  1 Y 2.15, 1 Bi 2.32
F 0.3644 0.3856 0.2559  1 Y 2.15, 1 Bi 2.32
F 0.5005 0.2500 0.7091  2 Bi 2.26
F 0.4995 0.7500 0.2909  2 Bi 2.26
F 0.6356 0.6144 0.7441  1 Y 2.15, 1 Bi 2.32
F 0.6356 0.8856 0.7441  1 Y 2.15, 1 Bi 2.32
F 0.6515 0.0806 0.5064  2 Bi 2.16-2.32
F 0.6515 0.4194 0.5064  2 Bi 2.16-2.32
F 0.7307 0.0931 0.9106  1 Bi 2.04
F 0.7307 0.4069 0.9106  1 Bi 2.04
F 0.7748 0.6253 0.0569  1 Bi 2.04
F 0.7748 0.8747 0.0569  1 Bi 2.04
F 0.7853 0.2500 0.2926  1 F 1.99, 1 Y 2.20
F 0.8364 0.6314 0.4658  1 Y 2.18, 1 Bi 2.20
F 0.8364 0.8686 0.4658  1 Y 2.18, 1 Bi 2.20
F 0.9406 0.0422 0.2254  1 Bi 2.08
F 0.9406 0.4578 0.2254  1 Bi 2.08
F 0.9639 0.2500 0.1077  1 F 1.99

Values from the calculation:
Its formation energy (no corrections) is -2.424 eV per atom. Its total moment is 1.01 μB per formula unit. The electronic total energy is -19.0915 eV per atom.